No. 1
# NaGa2Bi2 GGA-PBE optimized geometry
data_NaGa2Bi2
_chemical_formula_sum 'Na2 Ga4 Bi4'
_space_group_name_H-M_alt 'P 4/m b m'
_space_group_IT_number 127
_space_group_name_Hall '-P 4 2ab'
_cell_length_a 8.1896
_cell_length_b 8.1896
_cell_length_c 3.9760
_cell_angle_alpha 90.00
_cell_angle_beta 90.00
_cell_angle_gamma 90.00
loop_
_atom_site_label
_atom_site_type_symbol
_atom_site_fract_x
_atom_site_fract_y
_atom_site_fract_z
_atom_site_occupancy
Na1 Na 0.0000 0.0000 0.0000 1
Ga1 Ga 0.1269 0.3731 0.0000 1
Bi1 Bi 0.1596 0.6596 0.5000 1
# Energy above the most stable polymorph in this dataset = 36 meV per atom
# ΔH_f (0 K) = -0.043 eV per atom
# Magnetic moment = 0.000 μB per cell



No. 2
# Na2GaBi GGA-PBE optimized geometry
data_Na2GaBi
_chemical_formula_sum 'Na8 Ga4 Bi4'
_space_group_name_H-M_alt 'I -4 2 d'
_space_group_IT_number 122
_space_group_name_Hall 'I -4 2bw'
_cell_length_a 4.5229
_cell_length_b 4.5229
_cell_length_c 21.9100
_cell_angle_alpha 90.00
_cell_angle_beta 90.00
_cell_angle_gamma 90.00
loop_
_atom_site_label
_atom_site_type_symbol
_atom_site_fract_x
_atom_site_fract_y
_atom_site_fract_z
_atom_site_occupancy
Na1 Na 0.2415 0.2500 0.1250 1
Ga1 Ga 0.0000 0.0000 0.0000 1
Bi1 Bi 0.0000 0.0000 0.5000 1
# ΔH_f (0 K) = 0.020 eV per atom
# Magnetic moment = 0.000 μB per cell



No. 3
# NaGaBiO2 GGA-PBE optimized geometry
data_NaGaBiO2
_chemical_formula_sum 'Na1 Ga1 Bi1 O2'
_space_group_name_H-M_alt 'P 4/m m m'
_space_group_IT_number 123
_space_group_name_Hall '-P 4 2'
_cell_length_a 4.2517
_cell_length_b 4.2517
_cell_length_c 5.3481
_cell_angle_alpha 90.00
_cell_angle_beta 90.00
_cell_angle_gamma 90.00
loop_
_atom_site_label
_atom_site_type_symbol
_atom_site_fract_x
_atom_site_fract_y
_atom_site_fract_z
_atom_site_occupancy
Na1 Na 0.0000 0.0000 0.0000 1
Ga1 Ga 0.5000 0.5000 0.5000 1
Bi1 Bi 0.0000 0.0000 0.5000 1
O1 O 0.0000 0.5000 0.0000 1
# Energy relative to the elements, uncorrected = 0.46 eV/atom
# Magnetic moment = 0.000 μB per cell



No. 4
# NaPuGaBi GGA-PBE optimized geometry
data_NaPuGaBi
_chemical_formula_sum 'Na4 Pu4 Ga4 Bi4'
_space_group_name_H-M_alt 'F -4 3 m'
_space_group_IT_number 216
_space_group_name_Hall 'F -4 2 3'
_cell_length_a 7.5190
_cell_length_b 7.5190
_cell_length_c 7.5190
_cell_angle_alpha 90.00
_cell_angle_beta 90.00
_cell_angle_gamma 90.00
loop_
_atom_site_label
_atom_site_type_symbol
_atom_site_fract_x
_atom_site_fract_y
_atom_site_fract_z
_atom_site_occupancy
Na1 Na 0.0000 0.0000 0.0000 1
Pu1 Pu 0.0000 0.0000 0.5000 1
Ga1 Ga 0.2500 0.2500 0.2500 1
Bi1 Bi 0.2500 0.2500 0.7500 1
# ΔH_f (0 K) = -0.163 eV per atom
# Magnetic moment = 23.544 μB per cell



No. 5
# RbNaGa2Bi2 GGA-PBE optimized geometry
data_RbNaGa2Bi2
_chemical_formula_sum 'Rb1 Na1 Ga2 Bi2'
_space_group_name_H-M_alt 'P -3 m 1'
_space_group_IT_number 164
_space_group_name_Hall '-P 3 2"'
_cell_length_a 5.1410
_cell_length_b 5.1410
_cell_length_c 8.6074
_cell_angle_alpha 90.00
_cell_angle_beta 90.00
_cell_angle_gamma 120.00
loop_
_atom_site_label
_atom_site_type_symbol
_atom_site_fract_x
_atom_site_fract_y
_atom_site_fract_z
_atom_site_occupancy
Rb1 Rb 0.0000 0.0000 0.0000 1
Na1 Na 0.0000 0.0000 0.5000 1
Ga1 Ga 0.3333 0.6667 0.6297 1
Bi1 Bi 0.3333 0.6667 0.2880 1
# ΔH_f (0 K) = -0.245 eV per atom
# Magnetic moment = 0.000 μB per cell



No. 6
# NaGaBiRh2 GGA-PBE optimized geometry
data_NaGaBiRh2
_chemical_formula_sum 'Na1 Ga1 Bi1 Rh2'
_space_group_name_H-M_alt 'P 4/m m m'
_space_group_IT_number 123
_space_group_name_Hall '-P 4 2'
_cell_length_a 5.0469
_cell_length_b 5.0469
_cell_length_c 5.6026
_cell_angle_alpha 90.00
_cell_angle_beta 90.00
_cell_angle_gamma 90.00
loop_
_atom_site_label
_atom_site_type_symbol
_atom_site_fract_x
_atom_site_fract_y
_atom_site_fract_z
_atom_site_occupancy
Na1 Na 0.0000 0.0000 0.0000 1
Ga1 Ga 0.5000 0.5000 0.0000 1
Bi1 Bi 0.0000 0.0000 0.5000 1
Rh1 Rh 0.0000 0.5000 0.5000 1
# ΔH_f (0 K) = 0.836 eV per atom
# Magnetic moment = 0.000 μB per cell



No. 7
# NaGaBiS2 GGA-PBE optimized geometry
data_NaGaBiS2
_chemical_formula_sum 'Na1 Ga1 Bi1 S2'
_space_group_name_H-M_alt 'P 4/m m m'
_space_group_IT_number 123
_space_group_name_Hall '-P 4 2'
_cell_length_a 4.8552
_cell_length_b 4.8552
_cell_length_c 5.2046
_cell_angle_alpha 90.00
_cell_angle_beta 90.00
_cell_angle_gamma 90.00
loop_
_atom_site_label
_atom_site_type_symbol
_atom_site_fract_x
_atom_site_fract_y
_atom_site_fract_z
_atom_site_occupancy
Na1 Na 0.0000 0.0000 0.0000 1
Ga1 Ga 0.0000 0.0000 0.5000 1
Bi1 Bi 0.5000 0.5000 0.0000 1
S1 S 0.0000 0.5000 0.5000 1
# Energy relative to the elements, uncorrected = 0.22 eV/atom
# Magnetic moment = 0.000 μB per cell



No. 8
# Na3GaBi3S8 GGA-PBE optimized geometry
data_Na3GaBi3S8
_chemical_formula_sum 'Na6 Ga2 Bi6 S16'
_space_group_name_H-M_alt 'C 1 2/m 1'
_space_group_IT_number 12
_space_group_name_Hall '-C 2y'
_cell_length_a 13.6454
_cell_length_b 7.8672
_cell_length_c 8.2957
_cell_angle_alpha 90.00
_cell_angle_beta 123.29
_cell_angle_gamma 90.00
loop_
_atom_site_label
_atom_site_type_symbol
_atom_site_fract_x
_atom_site_fract_y
_atom_site_fract_z
_atom_site_occupancy
Na1 Na 0.0000 0.0000 0.0000 1
Na2 Na 0.2500 0.2500 0.0000 1
Ga1 Ga 0.0000 0.0000 0.5000 1
Bi1 Bi 0.0000 0.5000 0.5000 1
Bi2 Bi 0.2500 0.2500 0.5000 1
S1 S 0.0034 0.2239 0.2865 1
S2 S 0.2207 0.0000 0.7139 1
S3 S 0.2462 0.5000 0.7386 1
# Energy relative to the elements, uncorrected = -0.62 eV/atom
# Magnetic moment = 0.000 μB per cell



No. 9
# NaGaBiS3 GGA-PBE optimized geometry
data_NaGaBiS3
_chemical_formula_sum 'Na2 Ga2 Bi2 S6'
_space_group_name_H-M_alt 'P 1 21/m 1'
_space_group_IT_number 11
_space_group_name_Hall '-P 2yb'
_cell_length_a 8.2900
_cell_length_b 3.9078
_cell_length_c 10.2368
_cell_angle_alpha 90.00
_cell_angle_beta 92.22
_cell_angle_gamma 90.00
loop_
_atom_site_label
_atom_site_type_symbol
_atom_site_fract_x
_atom_site_fract_y
_atom_site_fract_z
_atom_site_occupancy
Na1 Na 0.1428 0.2500 0.1360 1
Ga1 Ga 0.0828 0.2500 0.6033 1
Bi1 Bi 0.3861 0.7500 0.8331 1
S1 S 0.1037 0.2500 0.8223 1
S2 S 0.1815 0.7500 0.5005 1
S3 S 0.3943 0.7500 0.1309 1
# Energy relative to the elements, uncorrected = -0.59 eV/atom
# Magnetic moment = 0.000 μB per cell



No. 10
# NaGaBiSe3 GGA-PBE optimized geometry
data_NaGaBiSe3
_chemical_formula_sum 'Na2 Ga2 Bi2 Se6'
_space_group_name_H-M_alt 'P 1 21/m 1'
_space_group_IT_number 11
_space_group_name_Hall '-P 2yb'
_cell_length_a 8.6138
_cell_length_b 4.1077
_cell_length_c 10.6126
_cell_angle_alpha 90.00
_cell_angle_beta 94.32
_cell_angle_gamma 90.00
loop_
_atom_site_label
_atom_site_type_symbol
_atom_site_fract_x
_atom_site_fract_y
_atom_site_fract_z
_atom_site_occupancy
Na1 Na 0.1513 0.2500 0.1401 1
Ga1 Ga 0.0770 0.2500 0.6048 1
Bi1 Bi 0.3702 0.7500 0.8407 1
Se1 Se 0.0974 0.2500 0.8321 1
Se2 Se 0.1926 0.7500 0.5098 1
Se3 Se 0.4037 0.7500 0.1376 1
# Energy relative to the elements, uncorrected = -0.57 eV/atom
# Magnetic moment = 0.000 μB per cell



No. 11
# Na2GaBiSe4 GGA-PBE optimized geometry
data_Na2GaBiSe4
_chemical_formula_sum 'Na4 Ga2 Bi2 Se8'
_space_group_name_H-M_alt 'I -4 2 m'
_space_group_IT_number 121
_space_group_name_Hall 'I -4 2'
_cell_length_a 7.6483
_cell_length_b 7.6483
_cell_length_c 7.0593
_cell_angle_alpha 90.00
_cell_angle_beta 90.00
_cell_angle_gamma 90.00
loop_
_atom_site_label
_atom_site_type_symbol
_atom_site_fract_x
_atom_site_fract_y
_atom_site_fract_z
_atom_site_occupancy
Na1 Na 0.0000 0.5000 0.0000 1
Ga1 Ga 0.0000 0.0000 0.0000 1
Bi1 Bi 0.0000 0.0000 0.5000 1
Se1 Se 0.1839 0.1839 0.7944 1
# Energy relative to the elements, uncorrected = -0.70 eV/atom
# Magnetic moment = 0.000 μB per cell



No. 12
# NaGaSnBi GGA-PBE optimized geometry
data_NaGaSnBi
_chemical_formula_sum 'Na4 Ga4 Sn4 Bi4'
_space_group_name_H-M_alt 'F -4 3 m'
_space_group_IT_number 216
_space_group_name_Hall 'F -4 2 3'
_cell_length_a 7.5498
_cell_length_b 7.5498
_cell_length_c 7.5498
_cell_angle_alpha 90.00
_cell_angle_beta 90.00
_cell_angle_gamma 90.00
loop_
_atom_site_label
_atom_site_type_symbol
_atom_site_fract_x
_atom_site_fract_y
_atom_site_fract_z
_atom_site_occupancy
Na1 Na 0.0000 0.0000 0.0000 1
Ga1 Ga 0.2500 0.2500 0.2500 1
Sn1 Sn 0.0000 0.0000 0.5000 1
Bi1 Bi 0.2500 0.2500 0.7500 1
# ΔH_f (0 K) = -0.026 eV per atom
# Magnetic moment = 0.000 μB per cell



No. 13
# Na3GaBi3Te8 GGA-PBE optimized geometry
data_Na3GaBi3Te8
_chemical_formula_sum 'Na6 Ga2 Bi6 Te16'
_space_group_name_H-M_alt 'C 1 2/m 1'
_space_group_IT_number 12
_space_group_name_Hall '-C 2y'
_cell_length_a 15.1604
_cell_length_b 8.7025
_cell_length_c 9.3931
_cell_angle_alpha 90.00
_cell_angle_beta 122.73
_cell_angle_gamma 90.00
loop_
_atom_site_label
_atom_site_type_symbol
_atom_site_fract_x
_atom_site_fract_y
_atom_site_fract_z
_atom_site_occupancy
Na1 Na 0.0000 0.0000 0.0000 1
Na2 Na 0.2500 0.2500 0.0000 1
Ga1 Ga 0.0000 0.0000 0.5000 1
Bi1 Bi 0.0000 0.5000 0.5000 1
Bi2 Bi 0.2500 0.2500 0.5000 1
Te1 Te 0.0027 0.2275 0.2808 1
Te2 Te 0.2245 0.0000 0.7188 1
Te3 Te 0.2456 0.5000 0.7369 1
# Energy relative to the elements, uncorrected = -0.40 eV/atom
# Magnetic moment = 0.000 μB per cell



No. 14
# NaGaBiTe3 GGA-PBE optimized geometry
data_NaGaBiTe3
_chemical_formula_sum 'Na2 Ga2 Bi2 Te6'
_space_group_name_H-M_alt 'P 1 21/m 1'
_space_group_IT_number 11
_space_group_name_Hall '-P 2yb'
_cell_length_a 8.9938
_cell_length_b 4.5673
_cell_length_c 11.6113
_cell_angle_alpha 90.00
_cell_angle_beta 104.67
_cell_angle_gamma 90.00
loop_
_atom_site_label
_atom_site_type_symbol
_atom_site_fract_x
_atom_site_fract_y
_atom_site_fract_z
_atom_site_occupancy
Na1 Na 0.1832 0.2500 0.1430 1
Ga1 Ga 0.0624 0.2500 0.6094 1
Bi1 Bi 0.3266 0.7500 0.8626 1
Te1 Te 0.0697 0.2500 0.8467 1
Te2 Te 0.2165 0.7500 0.5660 1
Te3 Te 0.4415 0.7500 0.1472 1
# Energy relative to the elements, uncorrected = -0.38 eV/atom
# Magnetic moment = 0.000 μB per cell



No. 15
# NaTl2GaBi2 GGA-PBE optimized geometry
data_NaTl2GaBi2
_chemical_formula_sum 'Na4 Tl8 Ga4 Bi8'
_space_group_name_H-M_alt 'I b a m'
_space_group_IT_number 72
_space_group_name_Hall '-I 2 2c'
_cell_length_a 6.9163
_cell_length_b 15.5592
_cell_length_c 7.0240
_cell_angle_alpha 90.00
_cell_angle_beta 90.00
_cell_angle_gamma 90.00
loop_
_atom_site_label
_atom_site_type_symbol
_atom_site_fract_x
_atom_site_fract_y
_atom_site_fract_z
_atom_site_occupancy
Na1 Na 0.0000 0.0000 0.2500 1
Tl1 Tl 0.2204 0.1694 0.0000 1
Ga1 Ga 0.0000 0.5000 0.2500 1
Bi1 Bi 0.2053 0.3820 0.0000 1
# ΔH_f (0 K) = -0.088 eV per atom
# Magnetic moment = 0.000 μB per cell



No. 16
# Nb3GaBi GGA-PBE optimized geometry
data_Nb3GaBi
_chemical_formula_sum 'Nb3 Ga1 Bi1'
_space_group_name_H-M_alt 'P m -3 m'
_space_group_IT_number 221
_space_group_name_Hall '-P 4 2 3'
_cell_length_a 5.1578
_cell_length_b 5.1578
_cell_length_c 5.1578
_cell_angle_alpha 90.00
_cell_angle_beta 90.00
_cell_angle_gamma 90.00
loop_
_atom_site_label
_atom_site_type_symbol
_atom_site_fract_x
_atom_site_fract_y
_atom_site_fract_z
_atom_site_occupancy
Nb1 Nb 0.0000 0.0000 0.5000 1
Ga1 Ga 0.5000 0.5000 0.5000 1
Bi1 Bi 0.0000 0.0000 0.0000 1
# Energy above the most stable polymorph in this dataset = 972 meV per atom
# ΔH_f (0 K) = 1.869 eV per atom
# Magnetic moment = 0.000 μB per cell



No. 17
# NbGaBi2 GGA-PBE optimized geometry
data_NbGaBi2
_chemical_formula_sum 'Nb4 Ga4 Bi8'
_space_group_name_H-M_alt 'I -4 2 d'
_space_group_IT_number 122
_space_group_name_Hall 'I -4 2bw'
_cell_length_a 6.6100
_cell_length_b 6.6100
_cell_length_c 12.9752
_cell_angle_alpha 90.00
_cell_angle_beta 90.00
_cell_angle_gamma 90.00
loop_
_atom_site_label
_atom_site_type_symbol
_atom_site_fract_x
_atom_site_fract_y
_atom_site_fract_z
_atom_site_occupancy
Nb1 Nb 0.0000 0.0000 0.0000 1
Ga1 Ga 0.0000 0.0000 0.5000 1
Bi1 Bi 0.2358 0.2500 0.1250 1
# ΔH_f (0 K) = 0.621 eV per atom
# Magnetic moment = 2.838 μB per cell



No. 18
# Nb3GaBi GGA-PBE optimized geometry
data_Nb3GaBi
_chemical_formula_sum 'Nb3 Ga1 Bi1'
_space_group_name_H-M_alt 'P m -3 m'
_space_group_IT_number 221
_space_group_name_Hall '-P 4 2 3'
_cell_length_a 4.8242
_cell_length_b 4.8242
_cell_length_c 4.8242
_cell_angle_alpha 90.00
_cell_angle_beta 90.00
_cell_angle_gamma 90.00
loop_
_atom_site_label
_atom_site_type_symbol
_atom_site_fract_x
_atom_site_fract_y
_atom_site_fract_z
_atom_site_occupancy
Nb1 Nb 0.0000 0.0000 0.5000 1
Ga1 Ga 0.0000 0.0000 0.0000 1
Bi1 Bi 0.5000 0.5000 0.5000 1
# Energy above the most stable polymorph in this dataset = 0 meV per atom
# ΔH_f (0 K) = 0.897 eV per atom
# Magnetic moment = 0.000 μB per cell



No. 19
# NbGaBi2 GGA-PBE optimized geometry
data_NbGaBi2
_chemical_formula_sum 'Nb3 Ga3 Bi6'
_space_group_name_H-M_alt 'R -3 m'
_space_group_IT_number 166
_space_group_name_Hall '-R 3 2"'
_cell_length_a 3.2161
_cell_length_b 3.2161
_cell_length_c 35.3336
_cell_angle_alpha 90.00
_cell_angle_beta 90.00
_cell_angle_gamma 120.00
loop_
_atom_site_label
_atom_site_type_symbol
_atom_site_fract_x
_atom_site_fract_y
_atom_site_fract_z
_atom_site_occupancy
Nb1 Nb 0.0000 0.0000 0.0000 1
Ga1 Ga 0.0000 0.0000 0.5000 1
Bi1 Bi 0.0000 0.0000 0.0838 1
# ΔH_f (0 K) = 0.573 eV per atom
# Magnetic moment = 0.000 μB per cell



No. 20
# NbGaBiO6 GGA-PBE optimized geometry
data_NbGaBiO6
_chemical_formula_sum 'Nb2 Ga2 Bi2 O12'
_space_group_name_H-M_alt 'P 42 n m'
_space_group_IT_number 102
_space_group_name_Hall 'P 4n -2n'
_cell_length_a 4.8455
_cell_length_b 4.8455
_cell_length_c 9.7767
_cell_angle_alpha 90.00
_cell_angle_beta 90.00
_cell_angle_gamma 90.00
loop_
_atom_site_label
_atom_site_type_symbol
_atom_site_fract_x
_atom_site_fract_y
_atom_site_fract_z
_atom_site_occupancy
Nb1 Nb 0.0000 0.0000 0.0000 1
Ga1 Ga 0.0000 0.0000 0.3428 1
Bi1 Bi 0.0000 0.0000 0.6687 1
O1 O 0.1734 0.1734 0.1764 1
O2 O 0.2022 0.2022 0.4925 1
O3 O 0.2056 0.2056 0.8619 1
# Energy relative to the elements, uncorrected = -1.77 eV/atom
# Magnetic moment = 0.000 μB per cell